Below is an optimized crystal structure of Li2YI6, with properties calculated at the PBE level.

Values from the calculation:
- Symmetry: C2/m, No. 12
- Energy relative to the elements, uncorrected: -9.5 eV/f.u.

Cell: 7.4951 7.4951 13.3625 Å, 119.27 119.27 35.27°
Element x y z (fractional)
Li1 0.1240 0.1240 0.2035
Li2 0.8760 0.8760 0.7965
Y1 0.0000 0.0000 0.5000
I1 0.0384 0.0384 0.7405
I2 0.3297 0.3297 0.4308
I3 0.3664 0.3664 0.9099
I4 0.6336 0.6336 0.0901
I5 0.6703 0.6703 0.5692
I6 0.9616 0.9616 0.2595